Y6Ni20P13 | Alexandria | meta-GGA SCAN | single point on PBEsol structure; total energy = -17.01 eV per atom; total moment = 0.0 μB per formula unit; DOS(E_F) = 24.31 states/eV/f.u.; space group = No. 174; V = 502 Å³/cell; energy of formation from the pure elements = -966.7 meV per atom; calculated density = 6.98 g/cm3
1.0
3.7085 0.0000 0.0000
0.0000 12.5025 0.0000
0.0000 -6.2512 10.8275
Ni P Y
20 13 6
Direct
0.0000 0.9222 0.2421
0.0000 0.0215 0.5838
0.5000 0.1499 0.0786
0.5000 0.9780 0.4131
0.0000 0.5623 0.9785
0.5000 0.5869 0.5649
0.5000 0.9214 0.0712
0.0000 0.8041 0.8946
0.5000 0.0705 0.7537
0.0000 0.3199 0.0778
0.0000 0.0904 0.1959
0.0000 0.1054 0.9096
0.5000 0.3333 0.6667
0.0000 0.7579 0.6801
0.5000 0.2463 0.3167
0.5000 0.6833 0.9295
0.0000 0.4162 0.4377
0.5000 0.9288 0.8501
0.0000 0.6667 0.3333
0.5000 0.4351 0.0220
0.0000 0.5232 0.1374
0.0000 0.0000 0.0000
0.0000 0.7662 0.0479
0.5000 0.2325 0.9540
0.0000 0.6142 0.4768
0.5000 0.4765 0.8630
0.0000 0.9521 0.7183
0.5000 0.3866 0.5235
0.5000 0.0460 0.2785
0.5000 0.1370 0.6134
0.0000 0.8626 0.3858
0.0000 0.2817 0.2338
0.5000 0.7215 0.7675
0.5000 0.8121 0.5307
0.0000 0.5298 0.7179
0.5000 0.7186 0.1879
0.5000 0.4693 0.2814
0.0000 0.1881 0.4702
0.0000 0.2821 0.8119